PrDy5Al4: optimized geometry, PBE.

abc: 3.5812 3.5812 19.8590
angles: 90.00 90.00 90.00
Closest atoms and distances in Å follow each position.
Element x y z (fractional)
Dy1 0.5000 0.5000 0.8657  4 Al 3.11
Dy2 0.5000 0.5000 0.5000  8 Al 3.12
Dy3 0.5000 0.5000 0.1343  4 Al 3.11
Dy4 0.5000 0.5000 0.3175  8 Al 3.11-3.13
Dy5 0.5000 0.5000 0.6825  8 Al 3.11-3.13
Al1 0.0000 0.0000 0.4085  8 Dy 3.11-3.12
Al2 0.0000 0.0000 0.5915  8 Dy 3.11-3.12
Al3 0.0000 0.0000 0.7750  8 Dy 3.11-3.13
Al4 0.0000 0.0000 0.2250  8 Dy 3.11-3.13
Pr1 0.0000 0.0000 0.0000  4 Pr 3.58, 8 Dy 3.68

Computed properties:
total magnetization	0.0	μB/f.u.
ΔH_f (0 K)	-0.312	eV per atom